Computed, not measured: NiRu3Cl at its PBEsol-relaxed geometry at the SCAN level of DFT.

**Total energy**: -24.3669 eV/atom
**SG**: Pm-3m (221)
**Fermi-level density of states**: 3.59 states/eV per cell

Cell: 4.2274 4.2274 4.2274 Å, 90.00 90.00 90.00°
With the nearest neighbours (Å) after each atom.
Atoms (fractional coordinates):
1 Ni 0.5000 0.5000 0.5000  12 Ru 2.99
2 Cl 0.0000 0.0000 0.0000  6 Ru 2.11
3 Ru 0.0000 0.0000 0.5000  2 Cl 2.11
4 Ru 0.0000 0.5000 0.0000  2 Cl 2.11
5 Ru 0.5000 0.0000 0.0000  2 Cl 2.11

***

Computed, not measured: NiRuCl2 at its PBEsol-relaxed geometry at the SCAN level of DFT.

**Total energy**: -16.3704 eV/atom
**SG**: R-3m (166)
**Fermi-level density of states**: 3.00 states/eV per cell

Cell: 2.9910 2.9910 7.2908 Å, 78.16 78.16 60.00°
With the nearest neighbours (Å) after each atom.
Atoms (fractional coordinates):
1 Cl 0.7569 0.7569 0.7294  3 Ni 2.37, 3 Ru 2.58
2 Cl 0.2431 0.2431 0.2706  3 Ni 2.37, 3 Ru 2.58
3 Ru 0.0000 0.0000 0.0000  6 Cl 2.58
4 Ni 0.5000 0.5000 0.5000  6 Cl 2.37

***

Computed, not measured: NiRuCl2 at its PBEsol-relaxed geometry at the SCAN level of DFT.

**Total energy**: -16.3273 eV/atom
**SG**: Cmmm (65)
**Fermi-level density of states**: 3.06 states/eV per cell

Cell: 2.8742 3.0713 7.5042 Å, 90.00 90.00 117.90°
With the nearest neighbours (Å) after each atom.
Atoms (fractional coordinates):
1 Cl 0.0000 0.0000 0.2588  2 Ni 2.31, 2 Ru 2.42
2 Ru 0.5000 0.0000 0.0000  4 Cl 2.42
3 Cl 0.0000 0.0000 0.7412  2 Ni 2.31, 2 Ru 2.42
4 Ni 0.5000 0.0000 0.5000  4 Cl 2.31

***

Computed, not measured: NiRu2Cl at its PBEsol-relaxed geometry at the SCAN level of DFT.

**Total energy**: -22.8603 eV/atom
**SG**: Cmm2 (35)
**Fermi-level density of states**: 3.76 states/eV per cell

Cell: 2.7353 2.7575 8.2846 Å, 90.00 90.00 119.73°
With the nearest neighbours (Å) after each atom.
Atoms (fractional coordinates):
1 Ru 0.5000 0.0000 0.2529  2 Cl 2.55, 8 Ru 2.55-2.76
2 Ni 0.5000 0.0000 0.7416  2 Cl 2.34, 2 Ru 2.49
3 Ru 0.0000 0.0000 0.9935  2 Ni 2.49, 8 Ru 2.55-2.76
4 Cl 0.0000 0.0000 0.5120  2 Ni 2.34, 2 Ru 2.55

***

Computed, not measured: NiRu2Cl at its PBEsol-relaxed geometry at the SCAN level of DFT.

**Total energy**: -23.0223 eV/atom
**SG**: P4mm (99)
**Fermi-level density of states**: 3.84 states/eV per cell

Cell: 2.7712 2.7712 6.9004 Å, 90.00 90.00 90.00°
With the nearest neighbours (Å) after each atom.
Atoms (fractional coordinates):
1 Ru 0.5000 0.5000 0.2412  8 Ru 2.56-2.77, 4 Cl 2.68
2 Ni 0.5000 0.5000 0.7492  4 Cl 2.58, 4 Ru 2.63, 4 Ni 2.77
3 Cl 0.0000 0.0000 0.5065  4 Ni 2.58, 4 Ru 2.68, 4 Cl 2.77
4 Ru 0.0000 0.0000 0.0030  8 Ru 2.56-2.77, 4 Ni 2.63

***

Computed, not measured: Ta2NiRuCl at its PBEsol-relaxed geometry at the SCAN level of DFT.

**Total energy**: -37.3740 eV/atom
**SG**: P4/mmm (123)
**Fermi-level density of states**: 3.20 states/eV per cell

Cell: 4.2072 4.4183 4.4183 Å, 90.00 90.00 90.00°
With the nearest neighbours (Å) after each atom.
Atoms (fractional coordinates):
1 Cl 0.0000 0.0000 0.0000  2 Ru 2.10, 4 Ta 2.21
2 Ta 0.0000 0.0000 0.5000  2 Cl 2.21
3 Ta 0.0000 0.5000 0.0000  2 Cl 2.21
4 Ru 0.5000 0.0000 0.0000  2 Cl 2.10
5 Ni 0.5000 0.5000 0.5000  8 Ta 3.05, 4 Ru 3.12

***

Computed, not measured: Ni2SeSCl at its PBEsol-relaxed geometry at the SCAN level of DFT.

**Total energy**: -13.3864 eV/atom
**SG**: P4/mmm (123)
**Fermi-level density of states**: 3.70 states/eV per cell

Cell: 4.4312 4.4312 4.7950 Å, 90.00 90.00 90.00°
With the nearest neighbours (Å) after each atom.
Atoms (fractional coordinates):
1 Ni 0.5000 0.0000 0.0000  2 Se 2.22
2 Ni 0.0000 0.5000 0.0000  2 Se 2.22
3 Se 0.0000 0.0000 0.0000  4 Ni 2.22, 2 S 2.40
4 S 0.0000 0.0000 0.5000  2 Se 2.40
5 Cl 0.5000 0.5000 0.5000  4 S 3.13, 8 Ni 3.26

***

Computed, not measured: TlNiSCl2 at its PBEsol-relaxed geometry at the SCAN level of DFT.

**Total energy**: -22.4289 eV/atom
**SG**: P4/mmm (123)
**Fermi-level density of states**: 3.99 states/eV per cell

Cell: 5.0966 5.1401 5.1401 Å, 90.00 90.00 90.00°
With the nearest neighbours (Å) after each atom.
Atoms (fractional coordinates):
1 Cl 0.0000 0.5000 0.0000  2 Tl 2.57
2 Ni 0.5000 0.5000 0.5000  8 Cl 3.62, 4 S 3.63
3 Cl 0.0000 0.0000 0.5000  2 Tl 2.57
4 Tl 0.0000 0.0000 0.0000  2 S 2.55, 4 Cl 2.57
5 S 0.5000 0.0000 0.0000  2 Tl 2.55

***

Computed, not measured: NiSbCl at its PBEsol-relaxed geometry at the SCAN level of DFT.

**Total energy**: -20.1940 eV/atom
**SG**: F-43m (216)
**Fermi-level density of states**: 1.01 states/eV per cell

Cell: 4.3918 4.3918 4.3918 Å, 60.00 60.00 60.00°
With the nearest neighbours (Å) after each atom.
Atoms (fractional coordinates):
1 Sb 0.0000 0.0000 0.0000  4 Ni 2.69
2 Ni 0.2500 0.2500 0.2500  4 Cl 2.69, 4 Sb 2.69
3 Cl 0.5000 0.5000 0.5000  4 Ni 2.69

***

Computed, not measured: Ni2SbCl at its PBEsol-relaxed geometry at the SCAN level of DFT.

**Total energy**: -19.4656 eV/atom
**SG**: Pmm2 (25)
**Fermi-level density of states**: 1.73 states/eV per cell

Cell: 3.2538 3.8936 5.5336 Å, 90.00 90.01 90.00°
With the nearest neighbours (Å) after each atom.
Atoms (fractional coordinates):
1 Cl 0.0002 0.5000 0.1567  3 Ni 2.16-2.38
2 Ni 0.9999 0.5000 0.7259  1 Cl 2.38, 2 Ni 2.43, 4 Sb 2.59
3 Sb 0.4999 0.0000 0.6279  6 Ni 2.58-2.59
4 Ni 0.0001 0.0000 0.9894  2 Cl 2.16

***

Computed, not measured: NiSbCl2 at its PBEsol-relaxed geometry at the SCAN level of DFT.

**Total energy**: -17.1928 eV/atom
**SG**: Pmmm (47)
**Fermi-level density of states**: 2.25 states/eV per cell

Cell: 3.1385 4.3837 5.3701 Å, 90.00 90.00 90.00°
With the nearest neighbours (Å) after each atom.
Atoms (fractional coordinates):
1 Ni 0.5000 0.5000 0.0000  4 Cl 2.70
2 Cl 0.0000 0.0000 0.0000  4 Ni 2.70
3 Sb 0.0000 0.5000 0.5000  4 Cl 2.70
4 Cl 0.5000 0.0000 0.5000  4 Sb 2.70

***

Computed, not measured: NiSbCl2 at its PBEsol-relaxed geometry at the SCAN level of DFT.

**Total energy**: -17.0046 eV/atom
**SG**: F-43m (216)
**Fermi-level density of states**: 4.18 states/eV per cell

Cell: 4.6759 4.6759 4.6759 Å, 60.00 60.00 60.00°
With the nearest neighbours (Å) after each atom.
Atoms (fractional coordinates):
1 Cl 0.7500 0.7500 0.7500  4 Ni 2.86, 4 Cl 2.86
2 Sb 0.2500 0.2500 0.2500  4 Ni 2.86, 4 Cl 2.86
3 Cl 0.0000 0.0000 0.0000  4 Sb 2.86, 4 Cl 2.86
4 Ni 0.5000 0.5000 0.5000  4 Cl 2.86, 4 Sb 2.86